Entry from Alexandria: Rb2VReO after structural relaxation (PBE+U).

a = 6.592 Å, b = 4.462 Å, c = 6.592 Å
α = 90.00°, β = 90.00°, γ = 90.00°
Positions (direct):
Re 0.000 0.500 0.000
O 0.500 0.500 0.500
Rb 0.000 0.000 0.500
Rb 0.500 0.000 0.000
V 0.000 0.000 0.000

Properties
Its final energy is -17.6 eV/cell. As for the space group: P4/mmm. Its total magnetization is 0.111 μB per atom.